Computed, not measured: a geometry-optimized Pm4BSeI2 structure at the PBE level of DFT.

Cell: 7.3196 4.1186 7.9891 Å, 90.00 107.27 90.00°
Closest atoms and distances in Å follow each position.
Element x y z (fractional)
Pm (0.2007, 0.0000, 0.1829)  2 B 2.69, 1 Se 2.97
Pm (0.2382, 0.5000, 0.8116)  1 B 2.62, 2 Se 2.91
Pm (0.7618, 0.5000, 0.1884)  1 B 2.62, 2 Se 2.91
Pm (0.7993, 0.0000, 0.8171)  2 B 2.69, 1 Se 2.97
B (0.0000, 0.5000, 0.0000)  6 Pm 2.62-2.69
Se (0.5000, 0.0000, 0.0000)  6 Pm 2.91-2.97
I (0.0000, 0.0000, 0.5000)  6 Pm 3.28-3.30
I (0.5000, 0.5000, 0.5000)  6 Pm 3.49-3.56

Calculated values
Calculated volume (Å³/cell): 230.0
Total moment (μB per formula unit): 0.000
Energy relative to the elements, uncorrected (eV/f.u.): -8.4
Space group: No. 10